one.
# VTeS, optimized geometry, DFT GGA-PBE
# - N(E_F): 4.70 states/eV per cell
# - Mass density: 5.06 g cm⁻³
# - Volume: 276.5 Å³/cell
data_VTeS
_symmetry_space_group_name_H-M 'C 1 2/m 1'
_symmetry_Int_Tables_number 12
_symmetry_space_group_name_Hall '-C 2y'
_cell_length_a 5.951
_cell_length_b 3.436
_cell_length_c 13.660
_cell_angle_alpha 90.00
_cell_angle_beta 98.17
_cell_angle_gamma 90.00
loop_
_atom_site_label
_atom_site_type_symbol
_atom_site_fract_x
_atom_site_fract_y
_atom_site_fract_z
V1 V 0.071 0.000 0.213
Te1 Te 0.217 0.000 0.648
S1 S 0.126 0.500 0.880

two.
# VTeS, optimized geometry, DFT GGA-PBE
# - N(E_F): 10.92 states/eV per cell
# - Mass density: 5.52 g cm⁻³
# - Volume: 253.2 Å³/cell
data_VTeS
_symmetry_space_group_name_H-M 'C 1 2/m 1'
_symmetry_Int_Tables_number 12
_symmetry_space_group_name_Hall '-C 2y'
_cell_length_a 13.357
_cell_length_b 3.264
_cell_length_c 6.337
_cell_angle_alpha 90.00
_cell_angle_beta 113.57
_cell_angle_gamma 90.00
loop_
_atom_site_label
_atom_site_type_symbol
_atom_site_fract_x
_atom_site_fract_y
_atom_site_fract_z
V1 V 0.243 0.000 0.172
Te1 Te 0.128 0.000 0.465
S1 S 0.123 0.500 0.968

Stability check: which of them is least stable? one.

one.
# VTeS, optimized geometry, DFT GGA-PBE
# - N(E_F): 1.26 states/eV per cell
# - Mass density: 5.14 g cm⁻³
# - Volume: 68.1 Å³/cell
data_VTeS
_symmetry_space_group_name_H-M 'P 3 m 1'
_symmetry_Int_Tables_number 156
_symmetry_space_group_name_Hall 'P 3 -2"'
_cell_length_a 3.4305
_cell_length_b 3.4305
_cell_length_c 6.6804
_cell_angle_alpha 90.00
_cell_angle_beta 90.00
_cell_angle_gamma 120.00
loop_
_atom_site_label
_atom_site_type_symbol
_atom_site_fract_x
_atom_site_fract_y
_atom_site_fract_z
V1 V 0.0000 0.0000 0.0000
Te1 Te 0.3333 0.6667 0.7174
S1 S 0.6667 0.3333 0.1889

two.
# VTeS, optimized geometry, DFT GGA-PBE
# - N(E_F): 7.31 states/eV per cell
# - Mass density: 5.21 g cm⁻³
# - Volume: 268.4 Å³/cell
data_VTeS
_symmetry_space_group_name_H-M 'P 1 21/c 1'
_symmetry_Int_Tables_number 14
_symmetry_space_group_name_Hall '-P 2ybc'
_cell_length_a 6.558
_cell_length_b 6.805
_cell_length_c 6.634
_cell_angle_alpha 90.00
_cell_angle_beta 114.99
_cell_angle_gamma 90.00
loop_
_atom_site_label
_atom_site_type_symbol
_atom_site_fract_x
_atom_site_fract_y
_atom_site_fract_z
V1 V 0.179 0.078 0.466
Te1 Te 0.442 0.066 0.223
S1 S 0.016 0.193 0.679

Stability check: which of them is least stable? two.

one.
# V2TeS, optimized geometry, DFT GGA-PBE
# - N(E_F): 15.68 states/eV per cell
# - Mass density: 6.82 g cm⁻³
# - Volume: 254.7 Å³/cell
data_V2TeS
_symmetry_space_group_name_H-M 'F m -3 m'
_symmetry_Int_Tables_number 225
_symmetry_space_group_name_Hall '-F 4 2 3'
_cell_length_a 6.339
_cell_length_b 6.339
_cell_length_c 6.339
_cell_angle_alpha 90.00
_cell_angle_beta 90.00
_cell_angle_gamma 90.00
loop_
_atom_site_label
_atom_site_type_symbol
_atom_site_fract_x
_atom_site_fract_y
_atom_site_fract_z
V1 V 0.250 0.250 0.250
Te1 Te 0.000 0.000 0.000
S1 S 0.000 0.000 0.500

two.
# V2TeS, optimized geometry, DFT GGA-PBE
# - N(E_F): 14.06 states/eV per cell
# - Mass density: 6.25 g cm⁻³
# - Volume: 208.4 Å³/cell
data_V2TeS
_symmetry_space_group_name_H-M 'R -3 m'
_symmetry_Int_Tables_number 166
_symmetry_space_group_name_Hall '-R 3 2"'
_cell_length_a 3.6300
_cell_length_b 3.6300
_cell_length_c 18.2597
_cell_angle_alpha 90.00
_cell_angle_beta 90.00
_cell_angle_gamma 120.00
loop_
_atom_site_label
_atom_site_type_symbol
_atom_site_fract_x
_atom_site_fract_y
_atom_site_fract_z
V1 V 0.0000 0.0000 0.2221
Te1 Te 0.0000 0.0000 0.0000
S1 S 0.0000 0.0000 0.5000

Stability check: which of them is least stable? one.

one.
# TeW2S2, optimized geometry, DFT GGA-PBE
# - N(E_F): 7.65 states/eV per cell
# - Mass density: 10.10 g cm⁻³
# - Volume: 184.0 Å³/cell
data_TeW2S2
_symmetry_space_group_name_H-M 'I 4/m m m'
_symmetry_Int_Tables_number 139
_symmetry_space_group_name_Hall '-I 4 2'
_cell_length_a 4.348
_cell_length_b 4.348
_cell_length_c 9.730
_cell_angle_alpha 90.00
_cell_angle_beta 90.00
_cell_angle_gamma 90.00
loop_
_atom_site_label
_atom_site_type_symbol
_atom_site_fract_x
_atom_site_fract_y
_atom_site_fract_z
Te1 Te 0.000 0.000 0.000
W1 W 0.000 0.500 0.250
S1 S 0.000 0.000 0.355

two.
# TeW2S2, optimized geometry, DFT GGA-PBE
# - N(E_F): 6.64 states/eV per cell
# - Mass density: 9.69 g cm⁻³
# - Volume: 191.8 Å³/cell
data_TeW2S2
_symmetry_space_group_name_H-M 'P 4/m b m'
_symmetry_Int_Tables_number 127
_symmetry_space_group_name_Hall '-P 4 2ab'
_cell_length_a 8.104
_cell_length_b 8.104
_cell_length_c 2.920
_cell_angle_alpha 90.00
_cell_angle_beta 90.00
_cell_angle_gamma 90.00
loop_
_atom_site_label
_atom_site_type_symbol
_atom_site_fract_x
_atom_site_fract_y
_atom_site_fract_z
Te1 Te 0.000 0.000 0.000
W1 W 0.116 0.384 0.500
S1 S 0.129 0.629 0.000

Stability check: which of them is least stable? two.

one.
# TeW2S, optimized geometry, DFT GGA-PBE
# - N(E_F): 12.99 states/eV per cell
# - Mass density: 10.71 g cm⁻³
# - Volume: 327.1 Å³/cell
data_TeW2S
_symmetry_space_group_name_H-M 'I -4 2 d'
_symmetry_Int_Tables_number 122
_symmetry_space_group_name_Hall 'I -4 2bw'
_cell_length_a 4.561
_cell_length_b 4.561
_cell_length_c 15.728
_cell_angle_alpha 90.00
_cell_angle_beta 90.00
_cell_angle_gamma 90.00
loop_
_atom_site_label
_atom_site_type_symbol
_atom_site_fract_x
_atom_site_fract_y
_atom_site_fract_z
Te1 Te 0.000 0.000 0.000
W1 W 0.167 0.250 0.625
S1 S 0.000 0.000 0.500

two.
# TeW2S, optimized geometry, DFT GGA-PBE
# - N(E_F): 15.89 states/eV per cell
# - Mass density: 13.31 g cm⁻³
# - Volume: 263.2 Å³/cell
data_TeW2S
_symmetry_space_group_name_H-M 'F m -3 m'
_symmetry_Int_Tables_number 225
_symmetry_space_group_name_Hall '-F 4 2 3'
_cell_length_a 6.408
_cell_length_b 6.408
_cell_length_c 6.408
_cell_angle_alpha 90.00
_cell_angle_beta 90.00
_cell_angle_gamma 90.00
loop_
_atom_site_label
_atom_site_type_symbol
_atom_site_fract_x
_atom_site_fract_y
_atom_site_fract_z
Te1 Te 0.000 0.000 0.000
W1 W 0.250 0.250 0.250
S1 S 0.000 0.000 0.500

Stability check: which of them is least stable? two.

one.
# TeW2S3, optimized geometry, DFT GGA-PBE
# - N(E_F): 0.86 states/eV per cell
# - Mass density: 7.41 g cm⁻³
# - Volume: 265.1 Å³/cell
data_TeW2S3
_symmetry_space_group_name_H-M 'P 3 m 1'
_symmetry_Int_Tables_number 156
_symmetry_space_group_name_Hall 'P 3 -2"'
_cell_length_a 3.2723
_cell_length_b 3.2723
_cell_length_c 28.5901
_cell_angle_alpha 90.00
_cell_angle_beta 90.00
_cell_angle_gamma 120.00
loop_
_atom_site_label
_atom_site_type_symbol
_atom_site_fract_x
_atom_site_fract_y
_atom_site_fract_z
Te1 Te 0.0000 0.0000 0.0000
Te2 Te 0.0000 0.0000 0.1358
W1 W 0.0000 0.0000 0.3256
W2 W 0.0000 0.0000 0.8092
W3 W 0.3333 0.6667 0.0679
W4 W 0.3333 0.6667 0.5667
S1 S 0.0000 0.0000 0.5127
S2 S 0.0000 0.0000 0.6207
S3 S 0.3333 0.6667 0.2716
S4 S 0.3333 0.6667 0.3796
S5 S 0.3333 0.6667 0.7552
S6 S 0.3333 0.6667 0.8632

two.
# TeW2S3, optimized geometry, DFT GGA-PBE
# - N(E_F): 5.85 states/eV per cell
# - Mass density: 7.12 g cm⁻³
# - Volume: 551.4 Å³/cell
data_TeW2S3
_symmetry_space_group_name_H-M 'C 1 2/m 1'
_symmetry_Int_Tables_number 12
_symmetry_space_group_name_Hall '-C 2y'
_cell_length_a 16.131
_cell_length_b 3.264
_cell_length_c 11.561
_cell_angle_alpha 90.00
_cell_angle_beta 115.05
_cell_angle_gamma 90.00
loop_
_atom_site_label
_atom_site_type_symbol
_atom_site_fract_x
_atom_site_fract_y
_atom_site_fract_z
Te1 Te 0.093 0.000 0.199
W1 W 0.237 0.500 0.345
W2 W 0.246 0.000 0.149
S1 S 0.142 0.000 0.728
S2 S 0.160 0.500 0.980
S3 S 0.164 0.500 0.498

Stability check: which of them is least stable? two.